# YSc2Au3 PBE-GGA relaxed
data_YSc2Au3
_chemical_formula_sum 'Y1 Sc2 Au3'
_space_group_name_H-M_alt 'P 4/m m m'
_space_group_IT_number 123
_space_group_name_Hall '-P 4 2'
_cell_length_a 3.453
_cell_length_b 3.453
_cell_length_c 10.520
_cell_angle_alpha 90.00
_cell_angle_beta 90.00
_cell_angle_gamma 90.00
loop_
_atom_site_label
_atom_site_type_symbol
_atom_site_fract_x
_atom_site_fract_y
_atom_site_fract_z
Y1 Y 0.000 0.000 0.000
Sc1 Sc 0.000 0.000 0.339
Au1 Au 0.500 0.500 0.187
Au2 Au 0.500 0.500 0.500
# ρ, g cm⁻³: 10.19
# Total moment, Bohr magnetons per cell: 0.000
# V, A^3/atom: 20.9
# Calculated formation energy, eV/atom: -0.822